(1)
## Y2TlRu (PBE)

Data for Y2TlRu after structural relaxation.

Cell lengths 5.6442, 5.6442, 5.6442 Å; angles 133.93, 133.93, 67.20 degrees
Element x y z (fractional)
1 Ru 0.5000 0.5000 0.0000
2 Tl 0.7500 0.2500 0.5000
3 Y 0.0000 0.0000 0.0000
4 Y 0.2500 0.7500 0.5000

## Properties
mass density	8.7	Mg/m³
total moment	0.0	Bohr magnetons per cell
energy	-6.2200	eV/atom

(2)
## YTlRu (PBE)

Data for YTlRu after structural relaxation.

Cell lengths 5.7051, 5.7051, 3.5433 Å; angles 71.91, 71.91, 36.18 degrees
Element x y z (fractional)
1 Ru 0.9998 0.9998 0.0002
2 Tl 0.3493 0.3493 0.6507
3 Y 0.6509 0.6509 0.3491

## Properties
mass density	10.2	Mg/m³
total moment	0.0	Bohr magnetons per cell
energy	-6.1456	eV/atom

(3)
## Y2TlRu (PBE)

Data for Y2TlRu after structural relaxation.

Cell lengths 6.6567, 6.6567, 4.8486 Å; angles 68.61, 68.61, 29.97 degrees
Element x y z (fractional)
1 Ru 0.4977 0.4977 0.5022
2 Tl 0.1930 0.1930 0.3073
3 Y 0.0069 0.0069 0.9930
4 Y 0.8024 0.8024 0.6975

## Properties
mass density	8.1	Mg/m³
total moment	0.0	Bohr magnetons per cell
energy	-6.3311	eV/atom

(4)
## YTlRu4 (PBE)

Data for YTlRu4 after structural relaxation.

Cell lengths 5.2991, 5.2991, 5.2991 Å; angles 60.00, 60.00, 60.00 degrees
Element x y z (fractional)
1 Y 0.0000 0.0000 0.0000
2 Tl 0.7500 0.7500 0.7500
3 Ru 0.8731 0.3756 0.3756
4 Ru 0.3756 0.3756 0.8731
5 Ru 0.3756 0.8731 0.3756
6 Ru 0.3756 0.3756 0.3756

## Properties
mass density	11.0	Mg/m³
total moment	0.0	Bohr magnetons per cell
energy	-7.5491	eV/atom

(5)
## Y2TlRu (PBE)

Data for Y2TlRu after structural relaxation.

Cell lengths 9.7605, 9.7605, 9.7605 Å; angles 20.85, 20.85, 20.85 degrees
Site moments in Bohr magnetons follow the coordinates.
Element x y z (fractional)
1 Ru 0.4978 0.4978 0.4978  0.13
2 Tl 0.7635 0.7635 0.7635  0.00
3 Y 0.0070 0.0070 0.0070  0.23
4 Y 0.2317 0.2317 0.2317  0.09

## Properties
mass density	7.8	Mg/m³
total moment	0.8	Bohr magnetons per cell
energy	-5.9806	eV/atom

(6)
## YTlRu2 (PBE)

Data for YTlRu2 after structural relaxation.

Cell lengths 4.2367, 4.2004, 5.3289 Å; angles 66.78, 90.00, 90.00 degrees
Element x y z (fractional)
1 Ru 0.0000 0.1829 0.0090
2 Ru 0.5000 0.0730 0.2284
3 Tl 0.0000 0.4712 0.4334
4 Y 0.5000 0.7729 0.8291

## Properties
mass density	9.4	Mg/m³
total moment	0.0	Bohr magnetons per cell
energy	-6.7398	eV/atom

(7)
## Y2TlRu (PBE)

Data for Y2TlRu after structural relaxation.

Cell lengths 3.4627, 3.4627, 8.2740 Å; angles 90.00, 90.00, 90.00 degrees
Site moments in Bohr magnetons follow the coordinates.
Element x y z (fractional)
1 Ru 0.0000 0.0000 0.5130  0.02
2 Tl 0.5000 0.5000 0.7050  0.01
3 Y 0.0000 0.0000 0.9615  0.19
4 Y 0.5000 0.5000 0.3206  0.02

## Properties
mass density	8.1	Mg/m³
total moment	0.4	Bohr magnetons per cell
energy	-6.1732	eV/atom

(8)
## Y2TlRu (PBE)

Data for Y2TlRu after structural relaxation.

Cell lengths 8.0338, 5.0508, 3.6674 Å; angles 90.00, 62.84, 129.02 degrees
Element x y z (fractional)
1 Ru 0.0000 0.5000 0.5000
2 Tl 0.5000 0.5000 0.0000
3 Y 0.0000 0.0000 0.0000
4 Y 0.5000 0.0000 0.5000

## Properties
mass density	8.6	Mg/m³
total moment	0.0	Bohr magnetons per cell
energy	-6.3953	eV/atom

(9)
## YTlRu2 (PBE)

Data for YTlRu2 after structural relaxation.

Cell lengths 9.4975, 9.4975, 9.4975 Å; angles 19.01, 19.01, 19.01 degrees
Element x y z (fractional)
1 Ru 0.9927 0.9927 0.9927
2 Ru 0.2576 0.2576 0.2576
3 Tl 0.5087 0.5087 0.5087
4 Y 0.7410 0.7410 0.7410

## Properties
mass density	10.4	Mg/m³
total moment	0.0	Bohr magnetons per cell
energy	-6.3585	eV/atom

(10)
## Y8Tl2Ru (PBE)

Data for Y8Tl2Ru after structural relaxation.

Cell lengths 5.3501, 6.9537, 9.4553 Å; angles 111.18, 106.43, 90.00 degrees
Element x y z (fractional)
1 Y 0.4100 0.5775 0.8199
2 Y 0.6457 0.9482 0.2914
3 Y 0.8009 0.7126 0.6019
4 Y 0.9844 0.2148 0.9687
5 Y 0.1991 0.2874 0.3981
6 Y 0.3543 0.0518 0.7086
7 Y 0.5900 0.4225 0.1801
8 Y 0.0156 0.7852 0.0313
9 Tl 0.8224 0.2903 0.6448
10 Tl 0.1776 0.7097 0.3552
11 Ru 0.5000 0.0000 0.0000

## Properties
mass density	6.5	Mg/m³
total moment	0.0	Bohr magnetons per cell
energy	-6.2039	eV/atom

(11)
## YTlRu2 (PBE)

Data for YTlRu2 after structural relaxation.

Cell lengths 4.7898, 4.7898, 4.7898 Å; angles 60.00, 60.00, 60.00 degrees
Site moments in Bohr magnetons follow the coordinates.
Element x y z (fractional)
1 Ru 0.0000 0.0000 0.0000  1.31
2 Ru 0.2500 0.2500 0.2500  0.98
3 Tl 0.5000 0.5000 0.5000  -0.01
4 Y 0.7500 0.7500 0.7500  -0.02

## Properties
mass density	10.6	Mg/m³
total moment	2.3	Bohr magnetons per cell
energy	-6.5198	eV/atom

(12)
## YTlRu2 (PBE)

Data for YTlRu2 after structural relaxation.

Cell lengths 8.6894, 8.6894, 8.6894 Å; angles 21.77, 21.77, 21.77 degrees
Site moments in Bohr magnetons follow the coordinates.
Element x y z (fractional)
1 Ru 0.9990 0.9990 0.9990  0.07
2 Ru 0.5010 0.5010 0.5010  0.07
3 Tl 0.2500 0.2500 0.2500  0.00
4 Y 0.7500 0.7500 0.7500  -0.01

## Properties
mass density	10.4	Mg/m³
total moment	0.1	Bohr magnetons per cell
energy	-6.4219	eV/atom